1.
Entry from Alexandria: an optimized crystal structure of NaPr9Ge6O26 (PBEsol).

Calculated values
Total magnetization   0.00 Bohr magnetons per cell
ΔE_f (raw)   -62.2 kcal/mol of atoms
Crystal system   trigonal
VASP energy   -7.7986 eV per atom
DOS at the Fermi energy   0.00 states/eV per cell

a = 9.7297 Å, b = 9.7297 Å, c = 7.1850 Å
α = 90.00°, β = 90.00°, γ = 120.00°
With the nearest neighbours (Å) after each atom.
Element x y z (fractional)
Na: 0.0000 0.0000 0.0000  6 O 2.42-2.52
Pr: 0.0000 0.0000 0.5039  9 O 2.47-2.72
Pr: 0.0925 0.6524 0.2568  5 O 2.30-2.47
Pr: 0.1004 0.4241 0.7595  6 O 2.32-2.57
Pr: 0.3237 0.8996 0.7595  6 O 2.32-2.57
Pr: 0.3476 0.4402 0.2568  5 O 2.30-2.47
Pr: 0.5598 0.9075 0.2568  5 O 2.30-2.47
Pr: 0.5759 0.6763 0.7595  6 O 2.32-2.57
Pr: 0.6667 0.3333 0.0092  6 O 2.42-2.51
Pr: 0.6667 0.3333 0.5101  6 O 2.41-2.51
Ge: 0.2997 0.0378 0.2558  4 O 1.74-1.77
Ge: 0.3577 0.2932 0.7587  4 O 1.73-1.78
Ge: 0.7068 0.0646 0.7587  4 O 1.73-1.78
Ge: 0.7381 0.7003 0.2558  4 O 1.74-1.77
Ge: 0.9354 0.6423 0.7587  4 O 1.73-1.78
Ge: 0.9622 0.2619 0.2558  4 O 1.74-1.77
O: 0.0335 0.8470 0.7571  1 Ge 1.73
O: 0.0816 0.3091 0.4575  1 Ge 1.77
O: 0.1039 0.3658 0.0813  1 Ge 1.76
O: 0.1530 0.1865 0.7571  1 Ge 1.73
O: 0.2023 0.1469 0.2513  1 Ge 1.74
O: 0.2275 0.9184 0.4575  1 Ge 1.77
O: 0.2620 0.8961 0.0813  1 Ge 1.76
O: 0.3333 0.6667 0.2975  3 Pr 2.30
O: 0.3333 0.6667 0.7665  3 Pr 2.32
O: 0.4388 0.4195 0.9529  1 Ge 1.76
O: 0.4387 0.4221 0.5643  1 Ge 1.78
O: 0.4645 0.1898 0.7596  1 Ge 1.77
O: 0.5081 0.1609 0.2608  1 Ge 1.77
O: 0.5779 0.0166 0.5643  1 Ge 1.78
O: 0.5805 0.0193 0.9529  1 Ge 1.76
O: 0.6342 0.7380 0.0813  1 Ge 1.76
O: 0.6528 0.4919 0.2608  1 Ge 1.77
O: 0.6909 0.7725 0.4575  1 Ge 1.77
O: 0.7253 0.5355 0.7596  1 Ge 1.77
O: 0.8102 0.2747 0.7596  1 Ge 1.77
O: 0.8135 0.9665 0.7571  1 Ge 1.73
O: 0.8391 0.3472 0.2608  1 Ge 1.77
O: 0.8531 0.0554 0.2513  1 Ge 1.74
O: 0.9446 0.7977 0.2513  1 Ge 1.74
O: 0.9807 0.5612 0.9529  1 Ge 1.76
O: 0.9834 0.5613 0.5643  1 Ge 1.78

***

2.
Entry from Alexandria: an optimized crystal structure of SbMoAs3 (PBEsol).

Calculated values
Total magnetization   2.93 Bohr magnetons per cell
ΔE_f (raw)   37.7 kcal/mol of atoms
Crystal system   cubic
VASP energy   -4.6925 eV per atom
DOS at the Fermi energy   2.92 states/eV per cell

a = 5.0812 Å, b = 5.0812 Å, c = 5.0812 Å
α = 90.00°, β = 90.00°, γ = 90.00°
With the nearest neighbours (Å) after each atom.
Element x y z (fractional)
Sb: 0.0000 0.0000 0.0000  6 As 2.54
Mo: 0.5000 0.5000 0.5000  12 As 3.59
As: 0.0000 0.0000 0.5000  2 Sb 2.54
As: 0.0000 0.5000 0.0000  2 Sb 2.54
As: 0.5000 0.0000 0.0000  2 Sb 2.54

***

3.
Entry from Alexandria: an optimized crystal structure of Br2O (PBEsol).

Calculated values
Total magnetization   0.00 Bohr magnetons per cell
ΔE_f (raw)   3.7 kcal/mol of atoms
Crystal system   orthorhombic
VASP energy   -2.8344 eV per atom

a = 10.1084 Å, b = 3.9449 Å, c = 6.5580 Å
α = 90.00°, β = 90.00°, γ = 90.00°
With the nearest neighbours (Å) after each atom.
Element x y z (fractional)
Br: 0.0102 0.1379 0.0000  1 O 1.95
Br: 0.2303 0.9270 0.1693  1 O 1.91
Br: 0.2697 0.4270 0.6693  1 O 1.91
Br: 0.4898 0.6379 0.5000  1 O 1.95
Br: 0.5102 0.3621 0.0000  1 O 1.95
Br: 0.7303 0.5730 0.1693  1 O 1.91
Br: 0.7697 0.0730 0.6693  1 O 1.91
Br: 0.9898 0.8621 0.5000  1 O 1.95
O: 0.1509 0.6689 0.3830  2 Br 1.91-1.95
O: 0.3491 0.1689 0.8830  2 Br 1.91-1.95
O: 0.6509 0.8311 0.3830  2 Br 1.91-1.95
O: 0.8491 0.3311 0.8830  2 Br 1.91-1.95

***

4.
Entry from Alexandria: an optimized crystal structure of Y2TlIr (PBEsol).

Calculated values
Total magnetization   0.00 Bohr magnetons per cell
Energy above the most stable polymorph in this dataset   0.000 eV/atom
Crystal system   tetragonal
VASP energy   -7.1619 eV per atom
DOS at the Fermi energy   2.08 states/eV per cell

a = 3.4440 Å, b = 3.4440 Å, c = 7.6817 Å
α = 90.00°, β = 90.00°, γ = 90.00°
With the nearest neighbours (Å) after each atom.
Element x y z (fractional)
Y: 0.0000 0.0000 0.2135  4 Ir 2.94, 1 Y 3.28, 4 Tl 3.28
Y: 0.0000 0.0000 0.7865  4 Ir 2.94, 1 Y 3.28, 4 Tl 3.28
Tl: 0.5000 0.5000 0.5000  8 Y 3.28, 4 Tl 3.44
Ir: 0.5000 0.5000 0.0000  8 Y 2.94

***

5.
Entry from Alexandria: an optimized crystal structure of SiRuPt (PBEsol).

Calculated values
Total magnetization   0.00 Bohr magnetons per cell
ΔE_f (raw)   1.2 kcal/mol of atoms
Energy above the most stable polymorph in this dataset   0.571 eV/atom
Crystal system   cubic
VASP energy   -7.5734 eV per atom
DOS at the Fermi energy   4.62 states/eV per cell

a = 4.0937 Å, b = 4.0937 Å, c = 4.0937 Å
α = 60.00°, β = 60.00°, γ = 60.00°
With the nearest neighbours (Å) after each atom.
Element x y z (fractional)
Si: 0.0000 0.0000 0.0000  4 Ru 2.51
Ru: 0.2500 0.2500 0.2500  4 Pt 2.51, 4 Si 2.51
Pt: 0.5000 0.5000 0.5000  4 Ru 2.51

***

6.
Entry from Alexandria: an optimized crystal structure of ZrSc2Cd (PBEsol).

Calculated values
Total magnetization   0.00 Bohr magnetons per cell
Energy above the most stable polymorph in this dataset   0.096 eV/atom
Crystal system   orthorhombic
VASP energy   -5.9651 eV per atom
DOS at the Fermi energy   7.04 states/eV per cell

a = 3.1925 Å, b = 4.3157 Å, c = 6.3369 Å
α = 90.00°, β = 90.00°, γ = 90.00°
With the nearest neighbours (Å) after each atom.
Element x y z (fractional)
Zr: 0.0000 0.0000 0.0000  8 Sc 3.10, 2 Cd 3.17, 2 Zr 3.19
Sc: 0.5000 0.5000 0.2457  4 Zr 3.10, 4 Sc 3.11-3.22, 4 Cd 3.13
Sc: 0.5000 0.5000 0.7543  4 Zr 3.10, 4 Sc 3.11-3.22, 4 Cd 3.13
Cd: 0.0000 0.0000 0.5000  8 Sc 3.13, 2 Zr 3.17, 2 Cd 3.19

***

7.
Entry from Alexandria: an optimized crystal structure of ZrPtI2O (PBEsol).

Calculated values
Total magnetization   0.00 Bohr magnetons per cell
ΔE_f (raw)   -11.0 kcal/mol of atoms
Crystal system   tetragonal
VASP energy   -5.4460 eV per atom
DOS at the Fermi energy   3.74 states/eV per cell

a = 5.6370 Å, b = 5.6370 Å, c = 3.8888 Å
α = 90.00°, β = 90.00°, γ = 90.00°
With the nearest neighbours (Å) after each atom.
Element x y z (fractional)
Zr: 0.0000 0.0000 0.0000  2 O 1.94
Pt: 0.5000 0.5000 0.5000  8 I 3.42
I: 0.0000 0.5000 0.0000  2 Zr 2.82
I: 0.5000 0.0000 0.0000  2 Zr 2.82
O: 0.0000 0.0000 0.5000  2 Zr 1.94

***

8.
Entry from Alexandria: an optimized crystal structure of YZnTc2Sn (PBEsol).

Calculated values
Total magnetization   2.46 Bohr magnetons per cell
Crystal system   tetragonal
VASP energy   -6.1643 eV per atom
DOS at the Fermi energy   3.69 states/eV per cell

a = 4.6743 Å, b = 4.6743 Å, c = 4.6613 Å
α = 90.00°, β = 90.00°, γ = 90.00°
With the nearest neighbours (Å) after each atom.
Element x y z (fractional)
Y: 0.0000 0.0000 0.0000  8 Tc 3.30, 4 Sn 3.31
Zn: 0.5000 0.5000 0.5000  2 Sn 2.33, 4 Tc 2.34
Tc: 0.0000 0.5000 0.5000  2 Zn 2.34
Tc: 0.5000 0.0000 0.5000  2 Zn 2.34
Sn: 0.5000 0.5000 0.0000  2 Zn 2.33

***

9.
Entry from Alexandria: an optimized crystal structure of Cd4InSb (PBEsol).

Calculated values
Total magnetization   0.00 Bohr magnetons per cell
ΔE_f (raw)   2.7 kcal/mol of atoms
Crystal system   cubic
VASP energy   -1.9390 eV per atom
DOS at the Fermi energy   2.44 states/eV per cell

a = 5.8284 Å, b = 5.8284 Å, c = 5.8284 Å
α = 60.00°, β = 60.00°, γ = 60.00°
With the nearest neighbours (Å) after each atom.
Element x y z (fractional)
Cd: 0.1251 0.1251 0.1251  6 Cd 2.91-2.92
Cd: 0.1251 0.1251 0.6247  6 Cd 2.91-2.92
Cd: 0.1251 0.6247 0.1251  6 Cd 2.91-2.92
Cd: 0.6247 0.1251 0.1251  6 Cd 2.91-2.92
In: 0.5000 0.5000 0.5000  12 Cd 3.42, 4 Sb 3.57
Sb: 0.7500 0.7500 0.7500  12 Cd 3.42, 4 In 3.57

***

10.
Entry from Alexandria: an optimized crystal structure of LiY2Sn2 (PBEsol).

Calculated values
Total magnetization   0.00 Bohr magnetons per cell
Crystal system   tetragonal
VASP energy   -5.5060 eV per atom
DOS at the Fermi energy   6.58 states/eV per cell

a = 7.4738 Å, b = 7.4738 Å, c = 4.5099 Å
α = 90.00°, β = 90.00°, γ = 90.00°
With the nearest neighbours (Å) after each atom.
Element x y z (fractional)
Li: 0.0000 0.0000 0.0000  4 Sn 2.91
Li: 0.5000 0.5000 0.0000  4 Sn 2.91
Y: 0.1711 0.3289 0.5000  6 Sn 3.04-3.23
Y: 0.3289 0.8289 0.5000  6 Sn 3.04-3.23
Y: 0.6711 0.1711 0.5000  6 Sn 3.04-3.23
Y: 0.8289 0.6711 0.5000  6 Sn 3.04-3.23
Sn: 0.1353 0.6353 0.0000  1 Sn 2.86, 2 Li 2.91, 2 Y 3.04
Sn: 0.3647 0.1353 0.0000  1 Sn 2.86, 2 Li 2.91, 2 Y 3.04
Sn: 0.6353 0.8647 0.0000  1 Sn 2.86, 2 Li 2.91, 2 Y 3.04
Sn: 0.8647 0.3647 0.0000  1 Sn 2.86, 2 Li 2.91, 2 Y 3.04

***

11.
Entry from Alexandria: an optimized crystal structure of AlPtWAu2 (PBEsol).

Calculated values
Total magnetization   0.00 Bohr magnetons per cell
Crystal system   tetragonal
VASP energy   -4.8963 eV per atom
DOS at the Fermi energy   4.49 states/eV per cell

a = 4.8400 Å, b = 4.8400 Å, c = 4.8394 Å
α = 90.00°, β = 90.00°, γ = 90.00°
With the nearest neighbours (Å) after each atom.
Element x y z (fractional)
Al: 0.0000 0.0000 0.0000  2 W 2.42
Pt: 0.5000 0.5000 0.0000  8 Au 3.42, 4 Al 3.42
W: 0.0000 0.0000 0.5000  2 Al 2.42, 4 Au 2.42
Au: 0.0000 0.5000 0.5000  2 W 2.42
Au: 0.5000 0.0000 0.5000  2 W 2.42